(1)
Ta7Re5 | PBE | optimized geometry

Calculated values
**Calculated formation energy**: 2.91 eV/f.u.

Cell lengths 5.2799, 5.2799, 17.2105 Å; angles 90.00, 90.00, 120.00 degrees
Space group P6_3/mmc (No. 194)
One atom of each set of equivalent atoms:
Ta 0.0000 0.5000 0.0000
Ta 0.3333 0.6667 0.1286
Ta 0.3333 0.6667 0.6636
Re 0.0000 0.0000 0.0933
Re 0.1593 0.3185 0.2500


(2)
MoN2 | PBE | optimized geometry

Calculated values
**Electronic total energy**: -8.88 eV/atom

Cell lengths 5.4578, 3.0074, 5.2307 Å; angles 90.00, 113.57, 90.00 degrees
Space group Cm (No. 8)
One atom of each set of equivalent atoms:
Mo 0.0000 0.0000 0.0000
N 0.3005 0.5000 0.2144
N 0.3330 0.0000 0.7730


| no. | theoretical density (Mg/m³) |
| --- | --- |
| 1 | 17.566 |
| 2 | 5.231 |